# CoGe3Sb (PBE-GGA, relaxed)
data_CoGe3Sb
_cell_length_a 4.633
_cell_length_b 4.633
_cell_length_c 4.633
_cell_angle_alpha 90.00
_cell_angle_beta 90.00
_cell_angle_gamma 90.00
_space_group_name_H-M_alt 'P m -3 m'
_space_group_IT_number 221
_space_group_name_Hall '-P 4 2 3'
loop_
_atom_site_label
_atom_site_type_symbol
_atom_site_fract_x
_atom_site_fract_y
_atom_site_fract_z
Co1 Co 0.000 0.000 0.000
Ge1 Ge 0.000 0.000 0.500
Sb1 Sb 0.500 0.500 0.500
# - ΔE_f (raw) (eV per atom) = 0.1416
# - ΔE to the lowest computed polymorph (kcal/mol of atoms) = 0.00
# - DOS(E_F) (states/eV/f.u.) = 0.68
# - total energy (eV/atom) = -4.87
# - theoretical density (kg/m3) = 6658

# CsOF3 (PBE-GGA, relaxed)
data_CsOF3
_cell_length_a 11.410
_cell_length_b 10.970
_cell_length_c 8.167
_cell_angle_alpha 90.00
_cell_angle_beta 125.86
_cell_angle_gamma 90.00
_space_group_name_H-M_alt 'C 1 2/c 1'
_space_group_IT_number 15
_space_group_name_Hall '-C 2yc'
loop_
_atom_site_label
_atom_site_type_symbol
_atom_site_fract_x
_atom_site_fract_y
_atom_site_fract_z
Cs1 Cs 0.000 0.046 0.250
Cs2 Cs 0.000 0.371 0.750
O1 O 0.173 0.294 0.241
F1 F 0.122 0.166 0.048
F2 F 0.166 0.396 0.388
F3 F 0.179 0.189 0.689
# - ΔE_f (raw) (eV per atom) = -1.0591
# - ΔE to the lowest computed polymorph (kcal/mol of atoms) = 3.68
# - DOS(E_F) (states/eV/f.u.) = 0.00
# - total energy (eV/atom) = -3.34
# - theoretical density (kg/m3) = 3302

# KGaC (PBE-GGA, relaxed)
data_KGaC
_cell_length_a 9.297
_cell_length_b 13.465
_cell_length_c 9.038
_cell_angle_alpha 90.00
_cell_angle_beta 90.00
_cell_angle_gamma 90.00
_space_group_name_H-M_alt 'F d d 2'
_space_group_IT_number 43
_space_group_name_Hall 'F 2 -2d'
loop_
_atom_site_label
_atom_site_type_symbol
_atom_site_fract_x
_atom_site_fract_y
_atom_site_fract_z
K1 K 0.099 0.113 0.000
Ga1 Ga 0.100 0.379 0.805
C1 C 0.020 0.193 0.430
# - DOS(E_F) (states/eV/f.u.) = 0.00
# - total energy (eV/atom) = -3.74
# - energy relative to the elements (eV/atom) = 0.711
# - theoretical density (kg/m3) = 2837

# Pm3Sm2Zn2 (PBE-GGA, relaxed)
data_Pm3Sm2Zn2
_cell_length_a 3.678
_cell_length_b 30.744
_cell_length_c 3.621
_cell_angle_alpha 90.00
_cell_angle_beta 90.00
_cell_angle_gamma 90.00
_space_group_name_H-M_alt 'C m m m'
_space_group_IT_number 65
_space_group_name_Hall '-C 2 2'
loop_
_atom_site_label
_atom_site_type_symbol
_atom_site_fract_x
_atom_site_fract_y
_atom_site_fract_z
Pm1 Pm 0.000 0.000 0.000
Pm2 Pm 0.000 0.415 0.500
Sm1 Sm 0.000 0.299 0.500
Zn1 Zn 0.000 0.144 0.000
# - ΔE to the lowest computed polymorph (kcal/mol of atoms) = 0.26
# - DOS(E_F) (states/eV/f.u.) = 7.64
# - total energy (eV/atom) = -3.86
# - energy relative to the elements (eV/atom) = -0.116
# - theoretical density (kg/m3) = 7029